(1)
Here is Ba3IO7 after structural relaxation from the Alexandria database. Energies are from PBE.

POSCAR file:
```
Ba3IO7
1.0
4.275 -4.151 0.000
4.275 4.151 0.000
-3.520 0.000 5.715
Ba I O
3 1 7
Direct
0.000 0.000 0.000 Ba
0.265 0.716 0.487 Ba
0.716 0.265 0.487 Ba
0.501 0.501 0.997 I
0.084 0.084 0.412 O
0.184 0.530 0.788 O
0.351 0.351 0.133 O
0.484 0.813 0.217 O
0.530 0.184 0.788 O
0.645 0.645 0.853 O
0.813 0.484 0.217 O
```

The density of states at the Fermi level is 3.81 states/eV per cell. The value obtained for the total magnetization is 1.05 μB per formula unit. The calculation puts the formation energy from raw total energies at -1.6541 eV/atom. Its electronic total energy is -60.2 eV for the cell shown.

=====

(2)
Here is VSe2I after structural relaxation from the Alexandria database. Energies are from PBE.

POSCAR file:
```
VSe2I
1.0
1.683 0.972 11.222
-1.683 0.972 11.222
0.000 -1.944 11.222
V Se I
1 2 1
Direct
0.000 0.000 0.000 V
0.287 0.287 0.287 Se
0.713 0.713 0.713 Se
0.500 0.500 0.500 I
```

The density of states at the Fermi level is 1.72 states/eV per cell. The calculation puts the energy above the lowest structure with this stoichiometry at 0.0000 eV per atom. The value obtained for the total magnetization is 0.70 μB per formula unit. The calculation puts the formation energy from raw total energies at -0.4531 eV/atom. Its electronic total energy is -19.5 eV for the cell shown.

=====

(3)
Here is KSb2Se after structural relaxation from the Alexandria database. Energies are from PBE.

POSCAR file:
```
KSb2Se
1.0
-2.565 2.565 4.261
2.565 -2.565 4.261
2.565 2.565 -4.261
K Sb Se
1 2 1
Direct
0.000 0.000 0.000 K
0.250 0.750 0.500 Sb
0.500 0.500 0.000 Sb
0.750 0.250 0.500 Se
```

The density of states at the Fermi level is 1.55 states/eV per cell. The calculation puts the energy above the lowest structure with this stoichiometry at 0.2639 eV per atom. The value obtained for the total magnetization is 0.00 μB per formula unit. The calculation puts the formation energy from raw total energies at -0.0930 eV/atom. Its electronic total energy is -13.2 eV for the cell shown.

=====

(4)
Here is Ba2CaSi after structural relaxation from the Alexandria database. Energies are from PBE.

POSCAR file:
```
Ba2CaSi
1.0
-2.700 2.700 4.991
2.700 -2.700 4.991
2.700 2.700 -4.991
Ba Ca Si
2 1 1
Direct
0.250 0.750 0.500 Ba
0.750 0.250 0.500 Ba
0.000 0.000 0.000 Ca
0.500 0.500 0.000 Si
```

The density of states at the Fermi level is 1.75 states/eV per cell. The calculation puts the energy above the lowest structure with this stoichiometry at 0.1607 eV per atom. The value obtained for the total magnetization is 0.00 μB per formula unit. The calculation puts the formation energy from raw total energies at 0.0223 eV/atom. Its electronic total energy is -11.2 eV for the cell shown.

=====

(5)
Here is Sc6AsSe3 after structural relaxation from the Alexandria database. Energies are from PBE.

POSCAR file:
```
Sc6AsSe3
1.0
11.202 0.000 0.000
0.000 3.761 0.000
-4.671 0.000 10.279
Sc As Se
12 2 6
Direct
0.036 0.250 0.369 Sc
0.101 0.250 0.932 Sc
0.248 0.250 0.741 Sc
0.272 0.750 0.207 Sc
0.402 0.750 0.546 Sc
0.461 0.250 0.093 Sc
0.539 0.750 0.907 Sc
0.598 0.250 0.454 Sc
0.728 0.250 0.793 Sc
0.752 0.750 0.259 Sc
0.899 0.750 0.068 Sc
0.964 0.750 0.631 Sc
0.289 0.750 0.937 As
0.711 0.250 0.063 As
0.088 0.250 0.162 Se
0.161 0.750 0.549 Se
0.474 0.250 0.724 Se
0.526 0.750 0.276 Se
0.839 0.250 0.451 Se
0.912 0.750 0.838 Se
```

The density of states at the Fermi level is 13.31 states/eV per cell. The value obtained for the total magnetization is 0.00 μB per formula unit. The calculation puts the formation energy from raw total energies at -1.2068 eV/atom. Its electronic total energy is -130.3 eV for the cell shown.

=====

(6)
Here is La3ThAu2 after structural relaxation from the Alexandria database. Energies are from PBE.

POSCAR file:
```
La3ThAu2
1.0
3.749 0.000 0.000
0.000 3.749 0.000
0.000 0.000 12.474
La Th Au
3 1 2
Direct
0.000 0.000 0.000 La
0.000 0.000 0.306 La
0.000 0.000 0.694 La
0.500 0.500 0.500 Th
0.500 0.500 0.152 Au
0.500 0.500 0.848 Au
```

The density of states at the Fermi level is 7.04 states/eV per cell. The value obtained for the total magnetization is 0.00 μB per formula unit. Its electronic total energy is -31.8 eV for the cell shown. The calculation puts the energy relative to the elements at -0.51 eV/atom.

=====

(7)
Here is Ac7Pm2Nd2 after structural relaxation from the Alexandria database. Energies are from PBE.

POSCAR file:
```
Ac7Pm2Nd2
1.0
-2.996 8.460 4.535
2.996 -8.460 4.535
2.996 8.460 -4.535
Ac Pm Nd
7 2 2
Direct
0.000 0.000 0.000 Ac
0.165 0.323 0.842 Ac
0.179 0.536 0.643 Ac
0.480 0.323 0.158 Ac
0.490 0.124 0.365 Ac
0.759 0.124 0.635 Ac
0.893 0.536 0.357 Ac
0.027 0.827 0.199 Pm
0.628 0.827 0.801 Pm
0.325 0.825 0.500 Nd
0.601 0.601 0.000 Nd
```

The density of states at the Fermi level is 17.85 states/eV per cell. The calculation puts the energy above the lowest structure with this stoichiometry at 0.0215 eV per atom. The value obtained for the total magnetization is 0.00 μB per formula unit. Its electronic total energy is -46.5 eV for the cell shown. The calculation puts the energy relative to the elements at 0.11 eV/atom.

=====

(8)
Here is Rb2TiBrN after structural relaxation from the Alexandria database. Energies are from PBE.

POSCAR file:
```
Rb2TiBrN
1.0
6.190 0.000 0.000
0.000 6.190 0.000
0.000 0.000 4.561
Rb Ti Br N
2 1 1 1
Direct
0.000 0.500 0.000 Rb
0.500 0.000 0.000 Rb
0.000 0.000 0.500 Ti
0.500 0.500 0.500 Br
0.500 0.500 0.000 N
```

The density of states at the Fermi level is 6.47 states/eV per cell. The value obtained for the total magnetization is 3.79 μB per formula unit. The calculation puts the formation energy from raw total energies at 1.0891 eV/atom. Its electronic total energy is -14.4 eV for the cell shown.

=====

(9)
Here is Li3DyTl4 after structural relaxation from the Alexandria database. Energies are from PBE.

POSCAR file:
```
Li3DyTl4
1.0
2.505 1.446 8.416
-2.505 1.446 8.416
0.000 -2.892 8.416
Li Dy Tl
3 1 4
Direct
0.000 0.000 0.000 Li
0.250 0.250 0.250 Li
0.750 0.750 0.750 Li
0.500 0.500 0.500 Dy
0.118 0.118 0.118 Tl
0.371 0.371 0.371 Tl
0.629 0.629 0.629 Tl
0.882 0.882 0.882 Tl
```

The density of states at the Fermi level is 3.14 states/eV per cell. The value obtained for the total magnetization is 0.00 μB per formula unit. Its electronic total energy is -21.9 eV for the cell shown. The calculation puts the energy relative to the elements at -0.26 eV/atom.

=====

(10)
Here is TiAlH2Au after structural relaxation from the Alexandria database. Energies are from PBE.

POSCAR file:
```
TiAlH2Au
1.0
3.656 0.000 0.000
0.000 3.656 0.000
0.000 0.000 5.687
Ti Al H Au
1 1 2 1
Direct
0.000 0.000 0.000 Ti
0.000 0.000 0.500 Al
0.000 0.500 0.500 H
0.500 0.000 0.500 H
0.500 0.500 0.000 Au
```

The density of states at the Fermi level is 4.31 states/eV per cell. The value obtained for the total magnetization is 0.00 μB per formula unit. Its electronic total energy is -19.5 eV for the cell shown.

=====

(11)
Here is BeRhPb2 after structural relaxation from the Alexandria database. Energies are from PBE.

POSCAR file:
```
BeRhPb2
1.0
4.123 -1.739 0.000
4.123 1.739 0.000
-1.285 0.000 5.710
Be Rh Pb
1 1 2
Direct
0.000 0.000 0.000 Be
0.500 0.500 0.500 Rh
0.246 0.246 0.753 Pb
0.754 0.754 0.247 Pb
```

The density of states at the Fermi level is 2.51 states/eV per cell. The value obtained for the total magnetization is 0.00 μB per formula unit. Its electronic total energy is -16.7 eV for the cell shown. The calculation puts the energy relative to the elements at 0.45 eV/atom.

=====

(12)
Here is PaGeO5 after structural relaxation from the Alexandria database. Energies are from PBE.

POSCAR file:
```
PaGeO5
1.0
4.347 -3.196 0.000
4.347 3.196 0.000
-3.186 0.000 6.733
Pa Ge O
2 2 10
Direct
0.041 0.959 0.750 Pa
0.959 0.041 0.250 Pa
0.500 0.500 0.000 Ge
0.500 0.500 0.500 Ge
0.196 0.786 0.032 O
0.214 0.804 0.468 O
0.241 0.283 0.379 O
0.283 0.241 0.879 O
0.420 0.580 0.750 O
0.580 0.420 0.250 O
0.717 0.759 0.121 O
0.759 0.717 0.621 O
0.786 0.196 0.532 O
0.804 0.214 0.968 O
```

The density of states at the Fermi level is 7.29 states/eV per cell. The value obtained for the total magnetization is 0.94 μB per formula unit. The calculation puts the formation energy from raw total energies at -2.3239 eV/atom. Its electronic total energy is -110.3 eV for the cell shown.

=====

(13)
Here is CrAu2 after structural relaxation from the Alexandria database. Energies are from PBE.

POSCAR file:
```
CrAu2
1.0
0.000 3.869 3.869
3.869 0.000 3.869
3.869 3.869 0.000
Cr Au
2 4
Direct
0.125 0.125 0.125 Cr
0.875 0.875 0.875 Cr
0.000 0.500 0.500 Au
0.500 0.000 0.500 Au
0.500 0.500 0.000 Au
0.500 0.500 0.500 Au
```

The density of states at the Fermi level is 2.90 states/eV per cell. The value obtained for the total magnetization is 4.68 μB per formula unit. Its electronic total energy is -30.3 eV for the cell shown. The calculation puts the energy relative to the elements at 0.34 eV/atom.